# MgCd6Ag8

A relaxed structure of MgCd6Ag8 (PBE, the Alexandria database).

Computed properties:
Energy above the lowest structure with this stoichiometry   0.028 eV per atom
E   -29.5 eV for the cell shown
Crystal system   trigonal
Mass density   8.46 g/cm³
Space-group type   R-3 (148)

abc: 7.1944 7.1944 7.1944
angles: 67.70 67.70 67.70
Closest atoms and distances in Å follow each position.
Atoms (fractional coordinates):
Mg 0.0000 0.0000 0.0000  6 Ag 2.75
Cd 0.1511 0.6174 0.4192  4 Ag 2.75-3.08, 1 Cd 2.88
Cd 0.3826 0.5808 0.8489  4 Ag 2.75-3.08, 1 Cd 2.88
Cd 0.4192 0.1511 0.6174  4 Ag 2.75-3.08, 1 Cd 2.88
Cd 0.5808 0.8489 0.3826  4 Ag 2.75-3.08, 1 Cd 2.88
Cd 0.6174 0.4192 0.1511  4 Ag 2.75-3.08, 1 Cd 2.88
Cd 0.8489 0.3826 0.5808  4 Ag 2.75-3.08, 1 Cd 2.88
Ag 0.0867 0.3790 0.8637  3 Ag 2.74-2.98, 3 Cd 2.75-2.95, 1 Mg 2.75
Ag 0.1363 0.9133 0.6210  3 Ag 2.74-2.98, 3 Cd 2.75-2.95, 1 Mg 2.75
Ag 0.2394 0.2394 0.2394  6 Ag 2.91-2.98, 6 Cd 3.08-3.20
Ag 0.3790 0.8637 0.0867  3 Ag 2.74-2.98, 3 Cd 2.75-2.95, 1 Mg 2.75
Ag 0.6210 0.1363 0.9133  3 Ag 2.74-2.98, 3 Cd 2.75-2.95, 1 Mg 2.75
Ag 0.7606 0.7606 0.7606  6 Ag 2.91-2.98, 6 Cd 3.08-3.20
Ag 0.8637 0.0867 0.3790  3 Ag 2.74-2.98, 3 Cd 2.75-2.95, 1 Mg 2.75
Ag 0.9133 0.6210 0.1363  3 Ag 2.74-2.98, 3 Cd 2.75-2.95, 1 Mg 2.75

=====

# Mg2Cd2Ag

A relaxed structure of Mg2Cd2Ag (PBE, the Alexandria database).

Computed properties:
Energy above the lowest structure with this stoichiometry   0.239 eV per atom
E   -7.1 eV for the cell shown
Crystal system   tetragonal
Mass density   5.50 g/cm³
Space-group type   I4/mmm (139)

abc: 7.6896 7.6896 7.6896
angles: 149.74 149.74 43.32
Closest atoms and distances in Å follow each position.
Atoms (fractional coordinates):
Mg 0.2500 0.7500 0.5000  4 Mg 2.84, 4 Cd 2.97
Mg 0.7500 0.2500 0.5000  4 Mg 2.84, 4 Cd 2.97
Cd 0.0968 0.0968 0.0000  1 Cd 2.77, 4 Mg 2.97
Cd 0.9032 0.9032 0.0000  1 Cd 2.77, 4 Mg 2.97
Ag 0.5000 0.5000 0.0000  8 Cd 3.16

=====

# Mg3Cd2Ag8

A relaxed structure of Mg3Cd2Ag8 (PBE, the Alexandria database).

Computed properties:
Energy above the lowest structure with this stoichiometry   0.027 eV per atom
E   -29.4 eV for the cell shown
Crystal system   trigonal
Mass density   7.21 g/cm³
Space-group type   R-3m (166)

abc: 10.7050 10.7050 10.7050
angles: 29.74 29.74 29.74
Closest atoms and distances in Å follow each position.
Atoms (fractional coordinates):
Mg 0.0000 0.0000 0.0000  6 Cd 3.29, 12 Ag 3.64-3.67
Mg 0.1846 0.1846 0.1846  10 Ag 2.71-3.03
Mg 0.8154 0.8154 0.8154  10 Ag 2.71-3.03
Cd 0.3617 0.3617 0.3617  4 Ag 2.72-2.89
Cd 0.6383 0.6383 0.6383  4 Ag 2.72-2.89
Ag 0.2253 0.7269 0.7269  4 Ag 2.74-2.76, 3 Mg 2.86-3.03, 1 Cd 2.89
Ag 0.2729 0.2729 0.2729  1 Mg 2.71, 1 Cd 2.72
Ag 0.2731 0.2731 0.7747  4 Ag 2.74-2.76, 3 Mg 2.86-3.03, 1 Cd 2.89
Ag 0.2731 0.7747 0.2731  4 Ag 2.74-2.76, 3 Mg 2.86-3.03, 1 Cd 2.89
Ag 0.7269 0.2253 0.7269  4 Ag 2.74-2.76, 3 Mg 2.86-3.03, 1 Cd 2.89
Ag 0.7269 0.7269 0.2253  4 Ag 2.74-2.76, 3 Mg 2.86-3.03, 1 Cd 2.89
Ag 0.7271 0.7271 0.7271  1 Mg 2.71, 1 Cd 2.72
Ag 0.7747 0.2731 0.2731  4 Ag 2.74-2.76, 3 Mg 2.86-3.03, 1 Cd 2.89

=====

# MgCd2Ag3

A relaxed structure of MgCd2Ag3 (PBE, the Alexandria database).

Computed properties:
E   -25.4 eV for the cell shown
Crystal system   monoclinic
Mass density   8.32 g/cm³
Space-group type   C2/c (15)

abc: 8.0456 8.0456 4.5792
angles: 106.44 106.44 114.93
Closest atoms and distances in Å follow each position.
Atoms (fractional coordinates):
Mg 0.0856 0.9144 0.7500  8 Ag 2.86-2.89
Mg 0.9144 0.0856 0.2500  8 Ag 2.86-2.89
Cd 0.2523 0.7477 0.2500  8 Ag 2.91-2.97, 2 Cd 3.21, 2 Mg 3.22
Cd 0.4177 0.5823 0.7500  8 Ag 2.93-3.00, 4 Cd 3.20-3.21
Cd 0.5823 0.4177 0.2500  8 Ag 2.93-3.00, 4 Cd 3.20-3.21
Cd 0.7477 0.2523 0.7500  8 Ag 2.91-2.97, 2 Cd 3.21, 2 Mg 3.22
Ag 0.0000 0.5000 0.5000  2 Mg 2.89, 6 Cd 2.93-2.94
Ag 0.1573 0.3188 0.9865  3 Mg 2.86-2.88, 5 Cd 2.91-3.00, 2 Ag 3.17
Ag 0.3188 0.1573 0.4865  3 Mg 2.86-2.88, 5 Cd 2.91-3.00, 2 Ag 3.17
Ag 0.5000 0.0000 0.0000  2 Mg 2.89, 6 Cd 2.93-2.94
Ag 0.6812 0.8427 0.5135  3 Mg 2.86-2.88, 5 Cd 2.91-3.00, 2 Ag 3.17
Ag 0.8427 0.6812 0.0135  3 Mg 2.86-2.88, 5 Cd 2.91-3.00, 2 Ag 3.17

=====

# Mg6CdAg10

A relaxed structure of Mg6CdAg10 (PBE, the Alexandria database).

Computed properties:
E   -41.3 eV for the cell shown
Crystal system   trigonal
Mass density   6.91 g/cm³
Space-group type   P-31m (162)

abc: 8.0627 8.0627 5.7093
angles: 90.00 90.00 120.00
Closest atoms and distances in Å follow each position.
Atoms (fractional coordinates):
Mg 0.0000 0.3576 0.3110  7 Ag 2.79-2.98, 1 Cd 3.08
Mg 0.0000 0.6424 0.6890  7 Ag 2.79-2.98, 1 Cd 3.08
Mg 0.3576 0.0000 0.3110  7 Ag 2.79-2.98, 1 Cd 3.08
Mg 0.3576 0.3576 0.6890  7 Ag 2.79-2.98, 1 Cd 3.08
Mg 0.6424 0.0000 0.6890  7 Ag 2.79-2.98, 1 Cd 3.08
Mg 0.6424 0.6424 0.3110  7 Ag 2.79-2.98, 1 Cd 3.08
Cd 0.0000 0.0000 0.5000  6 Ag 3.05, 6 Mg 3.08
Ag 0.0000 0.2999 0.8262  5 Mg 2.79-2.98, 2 Ag 3.00, 1 Cd 3.05
Ag 0.0000 0.7001 0.1738  5 Mg 2.79-2.98, 2 Ag 3.00, 1 Cd 3.05
Ag 0.2999 0.0000 0.8262  5 Mg 2.79-2.98, 2 Ag 3.00, 1 Cd 3.05
Ag 0.2999 0.2999 0.1738  5 Mg 2.79-2.98, 2 Ag 3.00, 1 Cd 3.05
Ag 0.3333 0.6667 0.0000  8 Ag 2.85-3.00, 6 Mg 3.14
Ag 0.3333 0.6667 0.5000  6 Mg 2.81, 2 Ag 2.85
Ag 0.6667 0.3333 0.0000  8 Ag 2.85-3.00, 6 Mg 3.14
Ag 0.6667 0.3333 0.5000  6 Mg 2.81, 2 Ag 2.85
Ag 0.7001 0.0000 0.1738  5 Mg 2.79-2.98, 2 Ag 3.00, 1 Cd 3.05
Ag 0.7001 0.7001 0.8262  5 Mg 2.79-2.98, 2 Ag 3.00, 1 Cd 3.05

=====

# Mg2Cd3Ag8

A relaxed structure of Mg2Cd3Ag8 (PBE, the Alexandria database).

Computed properties:
Energy above the lowest structure with this stoichiometry   0.072 eV per atom
E   -28.3 eV for the cell shown
Crystal system   trigonal
Mass density   7.71 g/cm³
Space-group type   R-3m (166)

abc: 10.7310 10.7310 10.7310
angles: 29.73 29.73 29.73
Closest atoms and distances in Å follow each position.
Atoms (fractional coordinates):
Mg 0.1395 0.1395 0.1395  4 Ag 2.66-2.81
Mg 0.8605 0.8605 0.8605  4 Ag 2.66-2.81
Cd 0.3174 0.3174 0.3174  10 Ag 2.81-3.13
Cd 0.5000 0.5000 0.5000  6 Mg 3.29, 12 Ag 3.52-3.66
Cd 0.6826 0.6826 0.6826  10 Ag 2.81-3.13
Ag 0.2259 0.2259 0.2259  1 Mg 2.66, 1 Cd 2.81
Ag 0.2312 0.2312 0.7306  6 Ag 2.75-3.05, 1 Mg 2.81, 1 Cd 2.94
Ag 0.2312 0.7306 0.2312  6 Ag 2.75-3.05, 1 Mg 2.81, 1 Cd 2.94
Ag 0.2694 0.7688 0.7688  6 Ag 2.75-3.05, 1 Mg 2.81, 1 Cd 2.94
Ag 0.7306 0.2312 0.2312  6 Ag 2.75-3.05, 1 Mg 2.81, 1 Cd 2.94
Ag 0.7688 0.2694 0.7688  6 Ag 2.75-3.05, 1 Mg 2.81, 1 Cd 2.94
Ag 0.7688 0.7688 0.2694  6 Ag 2.75-3.05, 1 Mg 2.81, 1 Cd 2.94
Ag 0.7741 0.7741 0.7741  1 Mg 2.66, 1 Cd 2.81

=====

- E of number 6 (Mg2Cd3Ag8)?
  -28.3 eV for the cell shown

=====

- Number 1 is which compound?
  MgCd6Ag8